Below is a relaxed MgCo3F crystal, with properties calculated at the PBE+U level.

Computed properties:
theoretical density: 4.864 g/cm³
DFT total energy: -3.522 eV/atom

Cell lengths 4.220, 4.220, 4.220 Å; angles 90.00, 90.00, 90.00 degrees
Element x y z (fractional)
Mg: 0.000 0.000 0.000
Co: 0.000 0.500 0.500
Co: 0.500 0.000 0.500
Co: 0.500 0.500 0.000
F: 0.500 0.500 0.500